Entry 1:
VASP calculation (GGA-PBE) on a relaxed structure of Tb6SnBr.

Geometry as CIF:
```
data_Tb6SnBr
_cell_length_a 6.283
_cell_length_b 6.283
_cell_length_c 6.283
_cell_angle_alpha 99.97
_cell_angle_beta 99.97
_cell_angle_gamma 99.97
_space_group_name_H-M_alt 'P 1'
_space_group_IT_number 1
_space_group_name_Hall 'P 1'
loop_
_atom_site_label
_atom_site_fract_x
_atom_site_fract_y
_atom_site_fract_z
Br1 0.000 0.000 0.000
Sn1 0.500 0.500 0.500
Tb1 0.764 0.609 0.080
Tb2 0.391 0.920 0.236
Tb3 0.920 0.236 0.391
Tb4 0.080 0.764 0.609
Tb5 0.609 0.080 0.764
Tb6 0.236 0.391 0.920
```

Computed properties:
Space-group type: R-3
Raw total energy (eV/cell): -35.96
Theoretical density (g cm⁻³): 8.13

=====

Entry 2:
VASP calculation (GGA-PBE) on a relaxed structure of TmSn2Br6.

Geometry as CIF:
```
data_TmSn2Br6
_cell_length_a 20.505
_cell_length_b 20.505
_cell_length_c 20.505
_cell_angle_alpha 11.69
_cell_angle_beta 11.69
_cell_angle_gamma 11.69
_space_group_name_H-M_alt 'P 1'
_space_group_IT_number 1
_space_group_name_Hall 'P 1'
loop_
_atom_site_label
_atom_site_fract_x
_atom_site_fract_y
_atom_site_fract_z
Br1 0.082 0.082 0.082
Br2 0.193 0.193 0.193
Br3 0.307 0.307 0.307
Br4 0.693 0.693 0.693
Br5 0.807 0.807 0.807
Br6 0.918 0.918 0.918
Sn1 0.444 0.444 0.444
Sn2 0.556 0.556 0.556
Tm1 0.000 0.000 0.000
```

Computed properties:
Space-group type: R-3m
Raw total energy (eV/cell): -31.33
Theoretical density (g cm⁻³): 4.78

=====

Entry 3:
VASP calculation (GGA-PBE) on a relaxed structure of TaBr2.

Geometry as CIF:
```
data_TaBr2
_cell_length_a 6.655
_cell_length_b 6.655
_cell_length_c 3.265
_cell_angle_alpha 90.00
_cell_angle_beta 90.00
_cell_angle_gamma 90.00
_space_group_name_H-M_alt 'P 1'
_space_group_IT_number 1
_space_group_name_Hall 'P 1'
loop_
_atom_site_label
_atom_site_fract_x
_atom_site_fract_y
_atom_site_fract_z
Br1 0.278 0.278 0.000
Br2 0.722 0.722 0.000
Br3 0.778 0.222 0.500
Br4 0.222 0.778 0.500
Ta1 0.000 0.000 0.000
Ta2 0.500 0.500 0.500
```

Computed properties:
Space-group type: P4_2/mnm
Raw total energy (eV/cell): -30.90
Theoretical density (g cm⁻³): 7.83

=====

Entry 4:
VASP calculation (GGA-PBE) on a relaxed structure of Ta3Br7.

Geometry as CIF:
```
data_Ta3Br7
_cell_length_a 9.787
_cell_length_b 9.787
_cell_length_c 11.659
_cell_angle_alpha 90.00
_cell_angle_beta 90.00
_cell_angle_gamma 92.88
_space_group_name_H-M_alt 'P 1'
_space_group_IT_number 1
_space_group_name_Hall 'P 1'
loop_
_atom_site_label
_atom_site_fract_x
_atom_site_fract_y
_atom_site_fract_z
Br1 0.756 0.244 0.000
Br2 0.244 0.756 0.000
Br3 0.392 0.142 0.014
Br4 0.142 0.392 0.014
Br5 0.860 0.860 0.231
Br6 0.718 0.470 0.247
Br7 0.470 0.718 0.247
Br8 0.609 0.109 0.250
Br9 0.109 0.609 0.250
Br10 0.970 0.218 0.253
Br11 0.218 0.970 0.253
Br12 0.360 0.360 0.269
Br13 0.892 0.642 0.486
Br14 0.642 0.892 0.486
Br15 0.744 0.256 0.500
Br16 0.256 0.744 0.500
Br17 0.358 0.108 0.514
Br18 0.108 0.358 0.514
Br19 0.640 0.640 0.731
Br20 0.782 0.030 0.747
Br21 0.030 0.782 0.747
Br22 0.891 0.391 0.750
Br23 0.391 0.891 0.750
Br24 0.530 0.282 0.753
Br25 0.282 0.530 0.753
Br26 0.140 0.140 0.769
Br27 0.858 0.608 0.986
Br28 0.608 0.858 0.986
Ta1 0.623 0.623 0.088
Ta2 0.548 0.338 0.108
Ta3 0.338 0.548 0.108
Ta4 0.838 0.048 0.392
Ta5 0.048 0.838 0.392
Ta6 0.123 0.123 0.412
Ta7 0.877 0.877 0.588
Ta8 0.952 0.162 0.608
Ta9 0.162 0.952 0.608
Ta10 0.662 0.452 0.892
Ta11 0.452 0.662 0.892
Ta12 0.377 0.377 0.912
```

Computed properties:
Space-group type: Cmce
Raw total energy (eV/cell): -223.24
Theoretical density (g cm⁻³): 6.56

=====

Entry 5:
VASP calculation (GGA-PBE) on a relaxed structure of TaBr5.

Geometry as CIF:
```
data_TaBr5
_cell_length_a 7.773
_cell_length_b 8.533
_cell_length_c 6.827
_cell_angle_alpha 90.00
_cell_angle_beta 90.00
_cell_angle_gamma 90.00
_space_group_name_H-M_alt 'P 1'
_space_group_IT_number 1
_space_group_name_Hall 'P 1'
loop_
_atom_site_label
_atom_site_fract_x
_atom_site_fract_y
_atom_site_fract_z
Br1 0.231 0.500 0.144
Br2 0.769 0.500 0.144
Br3 0.000 0.000 0.318
Br4 0.500 0.208 0.329
Br5 0.500 0.792 0.329
Br6 0.000 0.292 0.671
Br7 0.000 0.708 0.671
Br8 0.500 0.500 0.682
Br9 0.269 0.000 0.856
Br10 0.731 0.000 0.856
Ta1 0.500 0.500 0.326
Ta2 0.000 0.000 0.674
```

Computed properties:
Space-group type: Pmmn
Raw total energy (eV/cell): -51.01
Theoretical density (g cm⁻³): 4.26

=====

Entry 6:
VASP calculation (GGA-PBE) on a relaxed structure of TaBr5.

Geometry as CIF:
```
data_TaBr5
_cell_length_a 7.854
_cell_length_b 7.854
_cell_length_c 8.493
_cell_angle_alpha 90.00
_cell_angle_beta 90.00
_cell_angle_gamma 120.00
_space_group_name_H-M_alt 'P 1'
_space_group_IT_number 1
_space_group_name_Hall 'P 1'
loop_
_atom_site_label
_atom_site_fract_x
_atom_site_fract_y
_atom_site_fract_z
Br1 0.667 0.333 0.043
Br2 0.155 0.309 0.250
Br3 0.155 0.845 0.250
Br4 0.691 0.845 0.250
Br5 0.667 0.333 0.457
Br6 0.333 0.667 0.543
Br7 0.309 0.155 0.750
Br8 0.845 0.155 0.750
Br9 0.845 0.691 0.750
Br10 0.333 0.667 0.957
Ta1 0.333 0.667 0.250
Ta2 0.667 0.333 0.750
```

Computed properties:
Space-group type: P6_3/mmc
Raw total energy (eV/cell): -51.00
Theoretical density (g cm⁻³): 4.25

=====

Entry 7:
VASP calculation (GGA-PBE) on a relaxed structure of TaBr2.

Geometry as CIF:
```
data_TaBr2
_cell_length_a 5.771
_cell_length_b 5.771
_cell_length_c 5.771
_cell_angle_alpha 60.00
_cell_angle_beta 60.00
_cell_angle_gamma 60.00
_space_group_name_H-M_alt 'P 1'
_space_group_IT_number 1
_space_group_name_Hall 'P 1'
loop_
_atom_site_label
_atom_site_fract_x
_atom_site_fract_y
_atom_site_fract_z
Br1 0.625 0.625 0.125
Br2 0.625 0.125 0.625
Br3 0.125 0.625 0.625
Br4 0.625 0.625 0.625
Ta1 0.000 0.000 0.000
Ta2 0.250 0.250 0.250
```

Computed properties:
Space-group type: Fd-3m
Raw total energy (eV/cell): -20.20
Theoretical density (g cm⁻³): 8.33

=====

Entry 8:
VASP calculation (GGA-PBE) on a relaxed structure of Ta3Br2.

Geometry as CIF:
```
data_Ta3Br2
_cell_length_a 6.847
_cell_length_b 6.847
_cell_length_c 6.280
_cell_angle_alpha 123.03
_cell_angle_beta 56.97
_cell_angle_gamma 120.00
_space_group_name_H-M_alt 'P 1'
_space_group_IT_number 1
_space_group_name_Hall 'P 1'
loop_
_atom_site_label
_atom_site_fract_x
_atom_site_fract_y
_atom_site_fract_z
Br1 0.598 0.402 0.206
Br2 0.902 0.098 0.294
Br3 0.098 0.902 0.706
Br4 0.402 0.598 0.794
Ta1 0.250 0.989 0.250
Ta2 0.011 0.511 0.250
Ta3 0.489 0.750 0.250
Ta4 0.511 0.250 0.750
Ta5 0.989 0.489 0.750
Ta6 0.750 0.011 0.750
```

Computed properties:
Space-group type: R-3c
Raw total energy (eV/cell): -68.66
Theoretical density (g cm⁻³): 11.78